# MgWCl2, optimized geometry, DFT GGA-PBEsol
data_MgWCl2
_cell_length_a 2.951
_cell_length_b 5.103
_cell_length_c 6.462
_cell_angle_alpha 113.07
_cell_angle_beta 103.20
_cell_angle_gamma 90.00
_space_group_name_H-M_alt 'P 1'
_space_group_IT_number 1
loop_
_space_group_symop_operation_xyz
'x,y,z'
loop_
_atom_site_label
_atom_site_type_symbol
_atom_site_fract_x
_atom_site_fract_y
_atom_site_fract_z
Cl1 Cl 0.834 0.835 0.668
Cl2 Cl 0.166 0.165 0.332
Mg1 Mg 0.000 0.500 0.000
W1 W 0.500 0.000 0.000
# symmetry = C2/m, No. 12
# ΔE_f (raw) = -0.085 eV per atom
# energy relative to the lowest polymorph listed for this composition = 0.000 eV per atom

# Cr2ReRu, optimized geometry, DFT GGA-PBEsol
data_Cr2ReRu
_cell_length_a 2.943
_cell_length_b 4.166
_cell_length_c 4.166
_cell_angle_alpha 90.00
_cell_angle_beta 90.00
_cell_angle_gamma 90.00
_space_group_name_H-M_alt 'P 1'
_space_group_IT_number 1
loop_
_space_group_symop_operation_xyz
'x,y,z'
loop_
_atom_site_label
_atom_site_type_symbol
_atom_site_fract_x
_atom_site_fract_y
_atom_site_fract_z
Cr1 Cr 0.000 0.000 0.500
Cr2 Cr 0.000 0.500 0.000
Re1 Re 0.500 0.500 0.500
Ru1 Ru 0.500 0.000 0.000
# symmetry = P4/mmm, No. 123
# ΔH_f (0 K) = 0.1554 eV/atom

# AlNiAs, optimized geometry, DFT GGA-PBEsol
data_AlNiAs
_cell_length_a 3.373
_cell_length_b 3.373
_cell_length_c 4.424
_cell_angle_alpha 112.41
_cell_angle_beta 112.41
_cell_angle_gamma 90.00
_space_group_name_H-M_alt 'P 1'
_space_group_IT_number 1
loop_
_space_group_symop_operation_xyz
'x,y,z'
loop_
_atom_site_label
_atom_site_type_symbol
_atom_site_fract_x
_atom_site_fract_y
_atom_site_fract_z
Ni1 Ni 0.664 0.664 0.328
As1 As 0.335 0.335 0.670
Al1 Al 0.001 0.001 0.002
# symmetry = I4mm, No. 107
# ΔH_f (0 K) = -0.1218 eV/atom

# PrZr3F15, optimized geometry, DFT GGA-PBEsol
data_PrZr3F15
_cell_length_a 8.191
_cell_length_b 8.211
_cell_length_c 8.211
_cell_angle_alpha 98.95
_cell_angle_beta 100.75
_cell_angle_gamma 100.75
_space_group_name_H-M_alt 'P 1'
_space_group_IT_number 1
loop_
_space_group_symop_operation_xyz
'x,y,z'
loop_
_atom_site_label
_atom_site_type_symbol
_atom_site_fract_x
_atom_site_fract_y
_atom_site_fract_z
Pr1 Pr 0.250 0.823 0.177
Pr2 Pr 0.750 0.177 0.823
Zr1 Zr 0.250 0.243 0.757
Zr2 Zr 0.750 0.757 0.243
Zr3 Zr 0.673 0.263 0.321
Zr4 Zr 0.827 0.679 0.737
Zr5 Zr 0.327 0.737 0.679
Zr6 Zr 0.173 0.321 0.263
F1 F 0.059 0.680 0.650
F2 F 0.146 0.069 0.199
F3 F 0.684 0.160 0.529
F4 F 0.184 0.529 0.160
F5 F 0.646 0.199 0.069
F6 F 0.559 0.650 0.680
F7 F 0.941 0.320 0.350
F8 F 0.854 0.931 0.801
F9 F 0.316 0.840 0.471
F10 F 0.816 0.471 0.840
F11 F 0.354 0.801 0.931
F12 F 0.441 0.350 0.320
F13 F 0.250 0.531 0.469
F14 F 0.976 0.252 0.056
F15 F 0.524 0.944 0.748
F16 F 0.024 0.748 0.944
F17 F 0.476 0.056 0.252
F18 F 0.750 0.469 0.531
F19 F 0.002 0.235 0.719
F20 F 0.222 0.993 0.729
F21 F 0.215 0.226 0.499
F22 F 0.715 0.499 0.226
F23 F 0.722 0.729 0.993
F24 F 0.502 0.719 0.235
F25 F 0.998 0.765 0.281
F26 F 0.778 0.007 0.271
F27 F 0.785 0.774 0.501
F28 F 0.285 0.501 0.774
F29 F 0.278 0.271 0.007
F30 F 0.498 0.281 0.765
# symmetry = C2/c, No. 15
# ΔE_f (raw) = -3.832 eV per atom
# energy relative to the lowest polymorph listed for this composition = 0.004 eV per atom

# LiY4P, optimized geometry, DFT GGA-PBEsol
data_LiY4P
_cell_length_a 6.171
_cell_length_b 6.171
_cell_length_c 6.171
_cell_angle_alpha 60.00
_cell_angle_beta 60.00
_cell_angle_gamma 60.00
_space_group_name_H-M_alt 'P 1'
_space_group_IT_number 1
loop_
_space_group_symop_operation_xyz
'x,y,z'
loop_
_atom_site_label
_atom_site_type_symbol
_atom_site_fract_x
_atom_site_fract_y
_atom_site_fract_z
Li1 Li 0.750 0.750 0.750
P1 P 0.000 0.000 0.000
Y1 Y 0.374 0.374 0.374
Y2 Y 0.374 0.374 0.877
Y3 Y 0.877 0.374 0.374
Y4 Y 0.374 0.877 0.374
# symmetry = F-43m, No. 216
# ΔH_f (0 K) = 0.5078 eV/atom

# ScB2SbI, optimized geometry, DFT GGA-PBEsol
data_ScB2SbI
_cell_length_a 4.459
_cell_length_b 4.459
_cell_length_c 5.430
_cell_angle_alpha 90.00
_cell_angle_beta 90.00
_cell_angle_gamma 90.00
_space_group_name_H-M_alt 'P 1'
_space_group_IT_number 1
loop_
_space_group_symop_operation_xyz
'x,y,z'
loop_
_atom_site_label
_atom_site_type_symbol
_atom_site_fract_x
_atom_site_fract_y
_atom_site_fract_z
I1 I 0.000 0.000 0.000
Sb1 Sb 0.500 0.500 0.500
B1 B 0.000 0.500 0.000
B2 B 0.500 0.000 0.000
Sc1 Sc 0.000 0.000 0.500
# symmetry = P4/mmm, No. 123
# ΔE_f (raw) = 1.558 eV per atom

# Si2TcSe, optimized geometry, DFT GGA-PBEsol
data_Si2TcSe
_cell_length_a 4.341
_cell_length_b 4.341
_cell_length_c 4.341
_cell_angle_alpha 60.00
_cell_angle_beta 60.00
_cell_angle_gamma 60.00
_space_group_name_H-M_alt 'P 1'
_space_group_IT_number 1
loop_
_space_group_symop_operation_xyz
'x,y,z'
loop_
_atom_site_label
_atom_site_type_symbol
_atom_site_fract_x
_atom_site_fract_y
_atom_site_fract_z
Se1 Se 0.500 0.500 0.500
Si1 Si 0.000 0.000 0.000
Si2 Si 0.750 0.750 0.750
Tc1 Tc 0.250 0.250 0.250
# symmetry = F-43m, No. 216
# ΔE_f (raw) = 0.281 eV per atom

# CoRh5, optimized geometry, DFT GGA-PBEsol
data_CoRh5
_cell_length_a 2.649
_cell_length_b 2.649
_cell_length_c 12.828
_cell_angle_alpha 90.00
_cell_angle_beta 90.00
_cell_angle_gamma 120.00
_space_group_name_H-M_alt 'P 1'
_space_group_IT_number 1
loop_
_space_group_symop_operation_xyz
'x,y,z'
loop_
_atom_site_label
_atom_site_type_symbol
_atom_site_fract_x
_atom_site_fract_y
_atom_site_fract_z
Co1 Co 0.000 0.000 0.000
Rh1 Rh 0.333 0.667 0.158
Rh2 Rh 0.667 0.333 0.330
Rh3 Rh 0.000 0.000 0.500
Rh4 Rh 0.333 0.667 0.670
Rh5 Rh 0.667 0.333 0.842
# symmetry = P-3m1, No. 164
# ΔH_f (0 K) = 0.0324 eV/atom

# SrSeBr2O, optimized geometry, DFT GGA-PBEsol
data_SrSeBr2O
_cell_length_a 4.386
_cell_length_b 4.926
_cell_length_c 4.926
_cell_angle_alpha 90.00
_cell_angle_beta 90.00
_cell_angle_gamma 90.00
_space_group_name_H-M_alt 'P 1'
_space_group_IT_number 1
loop_
_space_group_symop_operation_xyz
'x,y,z'
loop_
_atom_site_label
_atom_site_type_symbol
_atom_site_fract_x
_atom_site_fract_y
_atom_site_fract_z
O1 O 0.000 0.000 0.000
Sr1 Sr 0.500 0.500 0.500
Se1 Se 0.500 0.000 0.000
Br1 Br 0.000 0.000 0.500
Br2 Br 0.000 0.500 0.000
# symmetry = P4/mmm, No. 123
# ΔE_f (raw) = -0.712 eV per atom

# CaTlAg4, optimized geometry, DFT GGA-PBEsol
data_CaTlAg4
_cell_length_a 5.531
_cell_length_b 5.531
_cell_length_c 5.531
_cell_angle_alpha 60.00
_cell_angle_beta 60.00
_cell_angle_gamma 60.00
_space_group_name_H-M_alt 'P 1'
_space_group_IT_number 1
loop_
_space_group_symop_operation_xyz
'x,y,z'
loop_
_atom_site_label
_atom_site_type_symbol
_atom_site_fract_x
_atom_site_fract_y
_atom_site_fract_z
Tl1 Tl 0.000 0.000 0.000
Ca1 Ca 0.750 0.750 0.750
Ag1 Ag 0.375 0.375 0.375
Ag2 Ag 0.375 0.375 0.875
Ag3 Ag 0.875 0.375 0.375
Ag4 Ag 0.375 0.875 0.375
# symmetry = F-43m, No. 216
# ΔH_f (0 K) = -0.1894 eV/atom

# YSeN2O, optimized geometry, DFT GGA-PBEsol
data_YSeN2O
_cell_length_a 4.443
_cell_length_b 4.443
_cell_length_c 5.628
_cell_angle_alpha 90.00
_cell_angle_beta 90.00
_cell_angle_gamma 90.00
_space_group_name_H-M_alt 'P 1'
_space_group_IT_number 1
loop_
_space_group_symop_operation_xyz
'x,y,z'
loop_
_atom_site_label
_atom_site_type_symbol
_atom_site_fract_x
_atom_site_fract_y
_atom_site_fract_z
Y1 Y 0.000 0.000 0.000
O1 O 0.500 0.500 0.500
Se1 Se 0.000 0.000 0.500
N1 N 0.000 0.500 0.000
N2 N 0.500 0.000 0.000
# symmetry = P4/mmm, No. 123
# ΔE_f (raw) = 1.420 eV per atom

# KCd2In2, optimized geometry, DFT GGA-PBEsol
data_KCd2In2
_cell_length_a 3.164
_cell_length_b 9.088
_cell_length_c 9.088
_cell_angle_alpha 90.00
_cell_angle_beta 90.00
_cell_angle_gamma 90.00
_space_group_name_H-M_alt 'P 1'
_space_group_IT_number 1
loop_
_space_group_symop_operation_xyz
'x,y,z'
loop_
_atom_site_label
_atom_site_type_symbol
_atom_site_fract_x
_atom_site_fract_y
_atom_site_fract_z
K1 K 0.000 0.000 0.000
K2 K 0.000 0.500 0.500
Cd1 Cd 0.500 0.154 0.654
Cd2 Cd 0.500 0.654 0.846
Cd3 Cd 0.500 0.846 0.346
Cd4 Cd 0.500 0.346 0.154
In1 In 0.000 0.362 0.862
In2 In 0.000 0.862 0.638
In3 In 0.000 0.638 0.138
In4 In 0.000 0.138 0.362
# symmetry = P4/mbm, No. 127
# ΔH_f (0 K) = -0.0447 eV/atom
# energy relative to the lowest polymorph listed for this composition = 0.030 eV per atom